Co3RhW after structural relaxation, computed with PBEsol.

* DFT formation energy: 1.95 eV per atom
* raw total energy: -35.42 eV/cell
* symmetry: Pm-3m
* calculated volume: 15.9 Å³/atom
* size of the total moment: 6.943 μB per formula unit

a b c (Å): 4.301 4.301 4.301
angles (deg): 90.00 90.00 90.00
Fractional coordinates of all 5 atoms:
Co: 0.000 0.000 0.500
Co: 0.000 0.500 0.000
Co: 0.500 0.000 0.000
Rh: 0.000 0.000 0.000
W: 0.500 0.500 0.500

***

CoRhW2 after structural relaxation, computed with PBEsol.

* DFT formation energy: 0.03 eV per atom
* polymorph energy (0 for the lowest one): 97 meV/atom
* raw total energy: -86.76 eV/cell
* symmetry: Cm
* calculated volume: 13.8 Å³/atom
* size of the total moment: 0.001 μB per formula unit

a b c (Å): 8.776 2.704 4.713
angles (deg): 90.00 99.76 90.00
Fractional coordinates of all 8 atoms:
Co: 0.000 0.000 0.000
Co: 0.500 0.500 0.000
Rh: 0.253 0.000 0.720
Rh: 0.753 0.500 0.720
W: 0.002 0.500 0.502
W: 0.241 0.500 0.193
W: 0.502 0.000 0.502
W: 0.741 0.000 0.193

***

CoRhW2 after structural relaxation, computed with PBEsol.

* DFT formation energy: -0.06 eV per atom
* polymorph energy (0 for the lowest one): 11 meV/atom
* raw total energy: -87.45 eV/cell
* symmetry: I4/mmm
* calculated volume: 13.6 Å³/atom
* size of the total moment: 0.000 μB per formula unit

a b c (Å): 3.784 3.784 7.607
angles (deg): 90.00 90.00 90.00
Fractional coordinates of all 8 atoms:
Co: 0.000 0.000 0.000
Co: 0.500 0.500 0.500
Rh: 0.000 0.000 0.500
Rh: 0.500 0.500 0.000
W: 0.000 0.500 0.250
W: 0.000 0.500 0.750
W: 0.500 0.000 0.250
W: 0.500 0.000 0.750

***

YCo2Rh2 after structural relaxation, computed with PBEsol.

* DFT formation energy: -0.07 eV per atom
* raw total energy: -77.84 eV/cell
* symmetry: I4/mmm
* calculated volume: 15.9 Å³/atom
* size of the total moment: 4.566 μB per formula unit

a b c (Å): 3.850 3.850 10.728
angles (deg): 90.00 90.00 90.00
Fractional coordinates of all 10 atoms:
Y: 0.000 0.000 0.000
Y: 0.500 0.500 0.500
Co: 0.000 0.500 0.250
Co: 0.000 0.500 0.750
Co: 0.500 0.000 0.250
Co: 0.500 0.000 0.750
Rh: 0.000 0.000 0.386
Rh: 0.000 0.000 0.614
Rh: 0.500 0.500 0.114
Rh: 0.500 0.500 0.886

***

YCoRh3 after structural relaxation, computed with PBEsol.

* DFT formation energy: 1.78 eV per atom
* raw total energy: -30.07 eV/cell
* symmetry: Pm-3m
* calculated volume: 20.9 Å³/atom
* size of the total moment: 3.273 μB per formula unit

a b c (Å): 4.711 4.711 4.711
angles (deg): 90.00 90.00 90.00
Fractional coordinates of all 5 atoms:
Y: 0.000 0.000 0.000
Co: 0.500 0.500 0.500
Rh: 0.000 0.000 0.500
Rh: 0.000 0.500 0.000
Rh: 0.500 0.000 0.000

***

YCoRh2 after structural relaxation, computed with PBEsol.

* DFT formation energy: -0.07 eV per atom
* raw total energy: -31.14 eV/cell
* symmetry: P2/m
* calculated volume: 15.5 Å³/atom
* size of the total moment: 1.570 μB per formula unit

a b c (Å): 2.909 4.257 5.155
angles (deg): 90.00 103.31 90.00
Fractional coordinates of all 4 atoms:
Y: 0.000 0.000 0.000
Co: 0.500 0.000 0.500
Rh: 0.345 0.500 0.717
Rh: 0.655 0.500 0.283